The following is a DFT calculation (SCAN) of a crystal of KMgBr2 relaxed with PBEsol.

Results
Size of the total moment, μB per cell: 0.961
DOS(E_F), states/eV/cell: 0.59
Symmetry: Pmmm (47)
Relative energy among the computed polymorphs, kJ per mole of atoms: 0.0

abc: 3.8891 4.0003 7.6145
angles: 90.00 90.00 90.00
Last column: nearest neighbours and their distance in Å.
Atoms (fractional coordinates):
Mg  0.0000  0.5000  0.0000  4 Br 2.78
K  0.5000  0.5000  0.5000  8 Br 3.36
Br  0.0000  0.0000  0.2534  2 Mg 2.78
Br  0.0000  0.0000  0.7466  2 Mg 2.78